## one
Below is a relaxed structure of NbTeF3, with properties calculated at the PBE-GGA level.

## Properties
The spin magnetization comes out at 0.00 μB/f.u. For the calculated volume, the calculation gives 15.9 A^3/atom. Its crystal system is cubic.

Structure (CIF):
```
data_NbTeF3
_space_group_name_H-M_alt 'P m -3 m'
_space_group_IT_number 221
_space_group_name_Hall '-P 4 2 3'
_cell_length_a 4.3022
_cell_length_b 4.3022
_cell_length_c 4.3022
_cell_angle_alpha 90.00
_cell_angle_beta 90.00
_cell_angle_gamma 90.00
loop_
_atom_site_label
_atom_site_type_symbol
_atom_site_fract_x
_atom_site_fract_y
_atom_site_fract_z
Nb1 Nb 0.0000 0.0000 0.0000
Te1 Te 0.5000 0.5000 0.5000
F1 F 0.0000 0.0000 0.5000
```

---

## two
Below is a relaxed structure of NbTeF3, with properties calculated at the PBE-GGA level.

## Properties
The spin magnetization comes out at 3.59 μB/f.u. For the calculated volume, the calculation gives 20.1 A^3/atom. Its crystal system is cubic.

Structure (CIF):
```
data_NbTeF3
_space_group_name_H-M_alt 'P m -3 m'
_space_group_IT_number 221
_space_group_name_Hall '-P 4 2 3'
_cell_length_a 4.6509
_cell_length_b 4.6509
_cell_length_c 4.6509
_cell_angle_alpha 90.00
_cell_angle_beta 90.00
_cell_angle_gamma 90.00
loop_
_atom_site_label
_atom_site_type_symbol
_atom_site_fract_x
_atom_site_fract_y
_atom_site_fract_z
Nb1 Nb 0.0000 0.0000 0.0000
Te1 Te 0.5000 0.5000 0.5000
F1 F 0.0000 0.5000 0.5000
```

---

one wins, 112.1 kJ/mol of atoms ahead of the next structure.

---

## one
Below is a relaxed structure of TiNbF3, with properties calculated at the PBE-GGA level.

## Properties
The spin magnetization comes out at 5.78 μB/f.u. For the calculated volume, the calculation gives 16.5 A^3/atom. Its crystal system is cubic.

Structure (CIF):
```
data_TiNbF3
_space_group_name_H-M_alt 'P m -3 m'
_space_group_IT_number 221
_space_group_name_Hall '-P 4 2 3'
_cell_length_a 4.3507
_cell_length_b 4.3507
_cell_length_c 4.3507
_cell_angle_alpha 90.00
_cell_angle_beta 90.00
_cell_angle_gamma 90.00
loop_
_atom_site_label
_atom_site_type_symbol
_atom_site_fract_x
_atom_site_fract_y
_atom_site_fract_z
Ti1 Ti 0.0000 0.0000 0.0000
Nb1 Nb 0.5000 0.5000 0.5000
F1 F 0.0000 0.5000 0.5000
```

---

## two
Below is a relaxed structure of TiNbF3, with properties calculated at the PBE-GGA level.

## Properties
The spin magnetization comes out at 4.34 μB/f.u. For the calculated volume, the calculation gives 14.3 A^3/atom. Its crystal system is cubic.

Structure (CIF):
```
data_TiNbF3
_space_group_name_H-M_alt 'P m -3 m'
_space_group_IT_number 221
_space_group_name_Hall '-P 4 2 3'
_cell_length_a 4.1475
_cell_length_b 4.1475
_cell_length_c 4.1475
_cell_angle_alpha 90.00
_cell_angle_beta 90.00
_cell_angle_gamma 90.00
loop_
_atom_site_label
_atom_site_type_symbol
_atom_site_fract_x
_atom_site_fract_y
_atom_site_fract_z
Ti1 Ti 0.0000 0.0000 0.0000
Nb1 Nb 0.5000 0.5000 0.5000
F1 F 0.0000 0.0000 0.5000
```

---

two wins, 12.7 kJ/mol of atoms ahead of the next structure.

---

## one
Below is a relaxed structure of Ti2NbF, with properties calculated at the PBE-GGA level.

## Properties
The spin magnetization comes out at 0.00 μB/f.u. For the calculated volume, the calculation gives 16.2 A^3/atom. Its crystal system is tetragonal.

Structure (CIF):
```
data_Ti2NbF
_space_group_name_H-M_alt 'I -4 2 d'
_space_group_IT_number 122
_space_group_name_Hall 'I -4 2bw'
_cell_length_a 6.3011
_cell_length_b 6.3011
_cell_length_c 6.5150
_cell_angle_alpha 90.00
_cell_angle_beta 90.00
_cell_angle_gamma 90.00
loop_
_atom_site_label
_atom_site_type_symbol
_atom_site_fract_x
_atom_site_fract_y
_atom_site_fract_z
Ti1 Ti 0.1667 0.2500 0.1250
Nb1 Nb 0.0000 0.0000 0.5000
F1 F 0.0000 0.0000 0.0000
```

---

## two
Below is a relaxed structure of Ti2NbF, with properties calculated at the PBE-GGA level.

## Properties
The spin magnetization comes out at 0.00 μB/f.u. For the calculated volume, the calculation gives 15.7 A^3/atom. Its crystal system is cubic.

Structure (CIF):
```
data_Ti2NbF
_space_group_name_H-M_alt 'F m -3 m'
_space_group_IT_number 225
_space_group_name_Hall '-F 4 2 3'
_cell_length_a 6.3103
_cell_length_b 6.3103
_cell_length_c 6.3103
_cell_angle_alpha 90.00
_cell_angle_beta 90.00
_cell_angle_gamma 90.00
loop_
_atom_site_label
_atom_site_type_symbol
_atom_site_fract_x
_atom_site_fract_y
_atom_site_fract_z
Ti1 Ti 0.2500 0.2500 0.2500
Nb1 Nb 0.0000 0.0000 0.0000
F1 F 0.0000 0.0000 0.5000
```

---

one wins, 45.5 kJ/mol of atoms ahead of the next structure.